Here is a relaxed structure of PdS from the Open Quantum Materials Database. Energies are from PBE-GGA.

Output
As for the volume: 16.157 A^3/atom. For the theoretical density, the calculation gives 7.117 Mg/m³. Its total energy is -4.798 eV per atom. Its space group is R-3m, No. 166.

Cell and atoms, written as CIF:
```
data_PdS
_chemical_formula_sum 'Pd1 S1'
_cell_length_a 3.603
_cell_length_b 3.603
_cell_length_c 3.603
_cell_angle_alpha 58.99
_cell_angle_beta 58.99
_cell_angle_gamma 58.99
_space_group_name_H-M_alt 'P 1'
_space_group_IT_number 1
_space_group_name_Hall 'P 1'
loop_
_atom_site_label
_atom_site_type_symbol
_atom_site_fract_x
_atom_site_fract_y
_atom_site_fract_z
_atom_site_occupancy
Pd1 Pd 0.000 0.000 0.000 1
S1 S 0.500 0.500 0.500 1
```

Here is a relaxed structure of Pd6S from the Open Quantum Materials Database. Energies are from PBE-GGA.

Output
As for the volume: 22.612 A^3/atom. For the theoretical density, the calculation gives 7.035 Mg/m³. Its total energy is -4.286 eV per atom. Its space group is R3m, No. 160.

Cell and atoms, written as CIF:
```
data_Pd6S
_chemical_formula_sum 'Pd6 S1'
_cell_length_a 5.905
_cell_length_b 5.905
_cell_length_c 5.905
_cell_angle_alpha 109.51
_cell_angle_beta 109.51
_cell_angle_gamma 109.51
_space_group_name_H-M_alt 'P 1'
_space_group_IT_number 1
_space_group_name_Hall 'P 1'
loop_
_atom_site_label
_atom_site_type_symbol
_atom_site_fract_x
_atom_site_fract_y
_atom_site_fract_z
_atom_site_occupancy
Pd1 Pd 0.000 0.323 0.323 1
Pd2 Pd 0.000 0.690 0.690 1
Pd3 Pd 0.323 0.323 0.000 1
Pd4 Pd 0.323 0.000 0.323 1
Pd5 Pd 0.690 0.000 0.690 1
Pd6 Pd 0.690 0.690 0.000 1
S1 S 0.015 0.015 0.015 1
```

Here is a relaxed structure of Pd2S from the Open Quantum Materials Database. Energies are from PBE-GGA.

Output
As for the volume: 18.112 A^3/atom. For the theoretical density, the calculation gives 7.485 Mg/m³. Its total energy is -4.842 eV per atom. Its space group is P4_2/mnm, No. 136.

Cell and atoms, written as CIF:
```
data_Pd2S
_chemical_formula_sum 'Pd4 S2'
_cell_length_a 5.253
_cell_length_b 5.253
_cell_length_c 3.938
_cell_angle_alpha 90.00
_cell_angle_beta 90.00
_cell_angle_gamma 90.00
_space_group_name_H-M_alt 'P 1'
_space_group_IT_number 1
_space_group_name_Hall 'P 1'
loop_
_atom_site_label
_atom_site_type_symbol
_atom_site_fract_x
_atom_site_fract_y
_atom_site_fract_z
_atom_site_occupancy
Pd1 Pd 0.319 0.319 0.000 1
Pd2 Pd 0.181 0.819 0.500 1
Pd3 Pd 0.681 0.681 0.000 1
Pd4 Pd 0.819 0.181 0.500 1
S1 S 0.500 0.500 0.500 1
S2 S 0.000 0.000 0.000 1
```

Here is a relaxed structure of PdS3 from the Open Quantum Materials Database. Energies are from PBE-GGA.

Output
As for the volume: 20.559 A^3/atom. For the theoretical density, the calculation gives 4.091 Mg/m³. Its total energy is -4.410 eV per atom. Its space group is P2_1/m, No. 11.

Cell and atoms, written as CIF:
```
data_PdS3
_chemical_formula_sum 'Pd2 S6'
_cell_length_a 5.022
_cell_length_b 3.584
_cell_length_c 9.227
_cell_angle_alpha 90.00
_cell_angle_beta 97.98
_cell_angle_gamma 90.00
_space_group_name_H-M_alt 'P 1'
_space_group_IT_number 1
_space_group_name_Hall 'P 1'
loop_
_atom_site_label
_atom_site_type_symbol
_atom_site_fract_x
_atom_site_fract_y
_atom_site_fract_z
_atom_site_occupancy
S1 S 0.808 0.750 0.284 1
S2 S 0.268 0.250 0.075 1
S3 S 0.732 0.750 0.925 1
S4 S 0.192 0.250 0.716 1
S5 S 0.532 0.250 0.633 1
S6 S 0.468 0.750 0.367 1
Pd1 Pd 0.781 0.250 0.106 1
Pd2 Pd 0.219 0.750 0.894 1
```

Here is a relaxed structure of Pd8S from the Open Quantum Materials Database. Energies are from PBE-GGA.

Output
As for the volume: 15.487 A^3/atom. For the theoretical density, the calculation gives 10.524 Mg/m³. Its total energy is -5.036 eV per atom. Its space group is P-62m, No. 189.

Cell and atoms, written as CIF:
```
data_Pd8S
_chemical_formula_sum 'Pd8 S1'
_cell_length_a 7.465
_cell_length_b 7.465
_cell_length_c 2.888
_cell_angle_alpha 90.00
_cell_angle_beta 90.00
_cell_angle_gamma 120.00
_space_group_name_H-M_alt 'P 1'
_space_group_IT_number 1
_space_group_name_Hall 'P 1'
loop_
_atom_site_label
_atom_site_type_symbol
_atom_site_fract_x
_atom_site_fract_y
_atom_site_fract_z
_atom_site_occupancy
Pd1 Pd 0.733 0.733 0.500 1
Pd2 Pd 0.333 0.667 0.500 1
Pd3 Pd 0.000 0.267 0.500 1
Pd4 Pd 0.667 0.333 0.500 1
Pd5 Pd 0.267 0.000 0.500 1
Pd6 Pd 0.384 0.384 0.000 1
Pd7 Pd 0.616 0.000 0.000 1
Pd8 Pd 0.000 0.616 0.000 1
S1 S 0.000 0.000 0.000 1
```

Here is a relaxed structure of Pd2S from the Open Quantum Materials Database. Energies are from PBE-GGA.

Output
As for the volume: 17.101 A^3/atom. For the theoretical density, the calculation gives 7.927 Mg/m³. Its total energy is -4.186 eV per atom. Its space group is Fd-3m, No. 227.

Cell and atoms, written as CIF:
```
data_Pd2S
_chemical_formula_sum 'Pd4 S2'
_cell_length_a 5.255
_cell_length_b 5.255
_cell_length_c 5.255
_cell_angle_alpha 60.00
_cell_angle_beta 60.00
_cell_angle_gamma 60.00
_space_group_name_H-M_alt 'P 1'
_space_group_IT_number 1
_space_group_name_Hall 'P 1'
loop_
_atom_site_label
_atom_site_type_symbol
_atom_site_fract_x
_atom_site_fract_y
_atom_site_fract_z
_atom_site_occupancy
Pd1 Pd 0.625 0.125 0.625 1
Pd2 Pd 0.125 0.625 0.625 1
Pd3 Pd 0.625 0.625 0.125 1
Pd4 Pd 0.625 0.625 0.625 1
S1 S 0.000 0.000 0.000 1
S2 S 0.250 0.250 0.250 1
```

Here is a relaxed structure of PdS from the Open Quantum Materials Database. Energies are from PBE-GGA.

Output
As for the volume: 16.199 A^3/atom. For the theoretical density, the calculation gives 7.098 Mg/m³. Its total energy is -4.799 eV per atom. Its space group is Fm-3m, No. 225.

Cell and atoms, written as CIF:
```
data_PdS
_chemical_formula_sum 'Pd1 S1'
_cell_length_a 3.578
_cell_length_b 3.578
_cell_length_c 3.578
_cell_angle_alpha 60.00
_cell_angle_beta 60.00
_cell_angle_gamma 60.00
_space_group_name_H-M_alt 'P 1'
_space_group_IT_number 1
_space_group_name_Hall 'P 1'
loop_
_atom_site_label
_atom_site_type_symbol
_atom_site_fract_x
_atom_site_fract_y
_atom_site_fract_z
_atom_site_occupancy
Pd1 Pd 0.000 0.000 0.000 1
S1 S 0.500 0.500 0.500 1
```

Here is a relaxed structure of Pd5S from the Open Quantum Materials Database. Energies are from PBE-GGA.

Output
As for the volume: 15.172 A^3/atom. For the theoretical density, the calculation gives 10.291 Mg/m³. Its total energy is -4.952 eV per atom. Its space group is Cmmm, No. 65.

Cell and atoms, written as CIF:
```
data_Pd5S
_chemical_formula_sum 'Pd5 S1'
_cell_length_a 6.805
_cell_length_b 6.805
_cell_length_c 4.426
_cell_angle_alpha 90.00
_cell_angle_beta 90.00
_cell_angle_gamma 153.63
_space_group_name_H-M_alt 'P 1'
_space_group_IT_number 1
_space_group_name_Hall 'P 1'
loop_
_atom_site_label
_atom_site_type_symbol
_atom_site_fract_x
_atom_site_fract_y
_atom_site_fract_z
_atom_site_occupancy
Pd1 Pd 0.829 0.171 0.500 1
Pd2 Pd 0.171 0.829 0.500 1
Pd3 Pd 0.500 0.500 0.500 1
Pd4 Pd 0.344 0.656 0.000 1
Pd5 Pd 0.656 0.344 0.000 1
S1 S 0.000 0.000 0.000 1
```

Here is a relaxed structure of Sb4PdS7 from the Open Quantum Materials Database. Energies are from PBE-GGA.

Output
As for the volume: 23.078 A^3/atom. For the theoretical density, the calculation gives 4.904 Mg/m³. Its total energy is -4.269 eV per atom. Its space group is C2/m, No. 12.

Cell and atoms, written as CIF:
```
data_Sb4PdS7
_chemical_formula_sum 'Sb4 Pd1 S7'
_cell_length_a 7.943
_cell_length_b 7.943
_cell_length_c 10.705
_cell_angle_alpha 130.96
_cell_angle_beta 130.96
_cell_angle_gamma 34.31
_space_group_name_H-M_alt 'P 1'
_space_group_IT_number 1
_space_group_name_Hall 'P 1'
loop_
_atom_site_label
_atom_site_type_symbol
_atom_site_fract_x
_atom_site_fract_y
_atom_site_fract_z
_atom_site_occupancy
Sb1 Sb 0.268 0.268 0.866 1
Sb2 Sb 0.410 0.410 0.595 1
Sb3 Sb 0.732 0.732 0.134 1
Sb4 Sb 0.590 0.590 0.405 1
S1 S 0.358 0.358 0.309 1
S2 S 0.642 0.642 0.691 1
S3 S 0.204 0.204 0.550 1
S4 S 0.500 0.500 0.000 1
S5 S 0.796 0.796 0.450 1
S6 S 0.898 0.898 0.100 1
S7 S 0.102 0.102 0.900 1
Pd1 Pd 0.000 0.000 0.000 1
```

Here is a relaxed structure of Sb2Pd3S3 from the Open Quantum Materials Database. Energies are from PBE-GGA.

Output
As for the volume: 22.005 A^3/atom. For the theoretical density, the calculation gives 6.216 Mg/m³. Its total energy is -4.467 eV per atom. Its space group is P-4m2, No. 115.

Cell and atoms, written as CIF:
```
data_Sb2Pd3S3
_chemical_formula_sum 'Sb2 Pd3 S3'
_cell_length_a 3.761
_cell_length_b 3.761
_cell_length_c 12.443
_cell_angle_alpha 90.00
_cell_angle_beta 90.00
_cell_angle_gamma 90.00
_space_group_name_H-M_alt 'P 1'
_space_group_IT_number 1
_space_group_name_Hall 'P 1'
loop_
_atom_site_label
_atom_site_type_symbol
_atom_site_fract_x
_atom_site_fract_y
_atom_site_fract_z
_atom_site_occupancy
Pd1 Pd 0.500 0.500 0.000 1
Pd2 Pd 0.000 0.000 0.000 1
Pd3 Pd 0.500 0.500 0.500 1
S1 S 0.000 0.000 0.695 1
S2 S 0.000 0.000 0.500 1
S3 S 0.000 0.000 0.305 1
Sb1 Sb 0.500 0.000 0.842 1
Sb2 Sb 0.000 0.500 0.158 1
```

Here is a relaxed structure of TlSbPdS3 from the Open Quantum Materials Database. Energies are from PBE-GGA.

Output
As for the volume: 25.670 A^3/atom. For the theoretical density, the calculation gives 5.701 Mg/m³. Its total energy is -4.182 eV per atom. Its space group is P2_1/m, No. 11.

Cell and atoms, written as CIF:
```
data_TlSbPdS3
_chemical_formula_sum 'Tl2 Sb2 Pd2 S6'
_cell_length_a 7.941
_cell_length_b 3.873
_cell_length_c 10.631
_cell_angle_alpha 90.00
_cell_angle_beta 109.59
_cell_angle_gamma 90.00
_space_group_name_H-M_alt 'P 1'
_space_group_IT_number 1
_space_group_name_Hall 'P 1'
loop_
_atom_site_label
_atom_site_type_symbol
_atom_site_fract_x
_atom_site_fract_y
_atom_site_fract_z
_atom_site_occupancy
S1 S 0.925 0.250 0.619 1
S2 S 0.560 0.750 0.330 1
S3 S 0.708 0.250 0.024 1
S4 S 0.292 0.750 0.976 1
S5 S 0.440 0.250 0.670 1
S6 S 0.075 0.750 0.381 1
Pd1 Pd 0.394 0.250 0.892 1
Pd2 Pd 0.606 0.750 0.108 1
Tl1 Tl 0.767 0.750 0.791 1
Tl2 Tl 0.233 0.250 0.209 1
Sb1 Sb 0.192 0.750 0.634 1
Sb2 Sb 0.808 0.250 0.366 1
```

Here is a relaxed structure of ScTlPdS3 from the Open Quantum Materials Database. Energies are from PBE-GGA.

Output
As for the volume: 23.510 A^3/atom. The magnetization is 0.00 Bohr magnetons per cell. For the theoretical density, the calculation gives 5.320 Mg/m³. Its total energy is -5.254 eV per atom. Its space group is P2_1/m, No. 11.

Cell and atoms, written as CIF:
```
data_ScTlPdS3
_chemical_formula_sum 'Sc2 Tl2 Pd2 S6'
_cell_length_a 7.935
_cell_length_b 3.810
_cell_length_c 9.922
_cell_angle_alpha 90.00
_cell_angle_beta 109.87
_cell_angle_gamma 90.00
_space_group_name_H-M_alt 'P 1'
_space_group_IT_number 1
_space_group_name_Hall 'P 1'
loop_
_atom_site_label
_atom_site_type_symbol
_atom_site_fract_x
_atom_site_fract_y
_atom_site_fract_z
_atom_site_occupancy
S1 S 0.905 0.250 0.159 1
S2 S 0.095 0.750 0.841 1
S3 S 0.446 0.250 0.130 1
S4 S 0.254 0.250 0.577 1
S5 S 0.746 0.750 0.423 1
S6 S 0.554 0.750 0.870 1
Sc1 Sc 0.323 0.250 0.859 1
Sc2 Sc 0.677 0.750 0.141 1
Pd1 Pd 0.907 0.250 0.407 1
Pd2 Pd 0.093 0.750 0.593 1
Tl1 Tl 0.751 0.250 0.726 1
Tl2 Tl 0.249 0.750 0.274 1
```